A relaxed structure of CeDyYPu. Source: the Alexandria database, functional GGA-PBE.

Values from the calculation:
Final energy (eV/atom): -7.64
Polymorph energy (0 for the lowest one) (meV per atom): 0
Volume (Å³ per cell): 121
Theoretical density (kg/m³): 8733
E_form (eV/f.u.): 0.8

Lattice parameters (Å, degrees): 5.5494 5.5494 5.5494 60.00 60.00 60.00
Positions (direct):
Ce (0.0000, 0.0000, 0.0000)
Dy (0.7500, 0.7500, 0.7500)
Y (0.5000, 0.5000, 0.5000)
Pu (0.2500, 0.2500, 0.2500)


A relaxed structure of CaSmMgCu. Source: the Alexandria database, functional GGA-PBE.

Values from the calculation:
Final energy (eV/atom): -3.12
Volume (Å³ per cell): 102
Theoretical density (kg/m³): 4513
E_form (eV/f.u.): -0.1

Lattice parameters (Å, degrees): 5.2513 5.2513 5.2513 60.00 60.00 60.00
Positions (direct):
Ca (0.0000, 0.0000, 0.0000)
Sm (0.5000, 0.5000, 0.5000)
Mg (0.7500, 0.7500, 0.7500)
Cu (0.2500, 0.2500, 0.2500)


A relaxed structure of HI. Source: the Alexandria database, functional GGA-PBE.

Values from the calculation:
Final energy (eV/atom): -2.41
Volume (Å³ per cell): 69
Theoretical density (kg/m³): 3061

Lattice parameters (Å, degrees): 4.4561 4.4616 4.6586 94.02 118.00 115.48
Positions (direct):
H (0.0000, 0.0000, 0.0000)
I (0.0929, 0.7457, 0.8305)


A relaxed structure of Er2LuHf. Source: the Alexandria database, functional GGA-PBE.

Values from the calculation:
Final energy (eV/atom): -5.56
Polymorph energy (0 for the lowest one) (meV per atom): 217
Volume (Å³ per cell): 112
Theoretical density (kg/m³): 10237
E_form (eV/f.u.): 1.4

Lattice parameters (Å, degrees): 12.0021 12.0021 12.0021 15.79 15.79 15.79
Positions (direct):
Er (0.0876, 0.0876, 0.0876)
Er (0.9124, 0.9124, 0.9124)
Lu (0.5000, 0.5000, 0.5000)
Hf (0.0000, 0.0000, 0.0000)


A relaxed structure of CoW. Source: the Alexandria database, functional GGA-PBE.

Values from the calculation:
Final energy (eV/atom): -9.77
Volume (Å³ per cell): 109
Theoretical density (kg/m³): 14825
E_form (eV/f.u.): 0.5

Lattice parameters (Å, degrees): 4.7735 4.7735 4.7735 90.00 90.00 90.00
Positions (direct):
Co (0.1037, 0.3963, 0.6037)
Co (0.3963, 0.6037, 0.1037)
Co (0.6037, 0.1037, 0.3963)
Co (0.8963, 0.8963, 0.8963)
W (0.0995, 0.9005, 0.4005)
W (0.4005, 0.0995, 0.9005)
W (0.5995, 0.5995, 0.5995)
W (0.9005, 0.4005, 0.0995)


A relaxed structure of POsN2. Source: the Alexandria database, functional GGA-PBE.

Values from the calculation:
Final energy (eV/atom): -7.86
Volume (Å³ per cell): 55
Theoretical density (kg/m³): 7478
Uncorrected formation energy (eV per atom): 0.47

Lattice parameters (Å, degrees): 3.0468 3.7246 5.5431 101.61 100.66 110.70
Positions (direct):
P (0.0000, 0.0000, 0.0000)
Os (0.5697, 0.3084, 0.8017)
N (0.3540, 0.5055, 0.4779)
N (0.3554, 0.8202, 0.4813)


A relaxed structure of Tb2PrMgHg4. Source: the Alexandria database, functional GGA-PBE.

Values from the calculation:
Final energy (eV/atom): -2.55
Volume (Å³ per cell): 206
Theoretical density (kg/m³): 10364
E_form (eV/f.u.): -3.6

Lattice parameters (Å, degrees): 9.4533 9.4533 9.4533 31.60 31.60 31.60
Positions (direct):
Tb (0.2421, 0.2421, 0.2421)
Tb (0.7579, 0.7579, 0.7579)
Pr (0.0000, 0.0000, 0.0000)
Mg (0.5000, 0.5000, 0.5000)
Hg (0.1265, 0.1265, 0.1265)
Hg (0.3810, 0.3810, 0.3810)
Hg (0.6190, 0.6190, 0.6190)
Hg (0.8735, 0.8735, 0.8735)


A relaxed structure of Cs3Ce2ErSe6. Source: the Alexandria database, functional GGA-PBE.

Values from the calculation:
Final energy (eV/atom): -5.00
Volume (Å³ per cell): 416
Theoretical density (kg/m³): 5268
Uncorrected formation energy (eV per atom): -1.68

Lattice parameters (Å, degrees): 7.5786 7.5786 8.7383 98.31 98.31 120.00
Positions (direct):
Cs (0.0000, 0.0000, 0.0000)
Cs (0.3320, 0.6680, 0.0000)
Cs (0.6680, 0.3320, 0.0000)
Ce (0.1666, 0.8334, 0.5000)
Ce (0.8334, 0.1666, 0.5000)
Er (0.5000, 0.5000, 0.5000)
Se (0.1145, 0.4377, 0.3131)
Se (0.2394, 0.2394, 0.6876)
Se (0.4377, 0.1145, 0.3131)
Se (0.5623, 0.8855, 0.6869)
Se (0.7606, 0.7606, 0.3124)
Se (0.8855, 0.5623, 0.6869)


A relaxed structure of Pu2NiSn3. Source: the Alexandria database, functional GGA-PBE.

Values from the calculation:
Final energy (eV/atom): -7.96
Volume (Å³ per cell): 144
Theoretical density (kg/m³): 10404
E_form (eV/f.u.): -1.3

Lattice parameters (Å, degrees): 3.6080 4.8204 8.2854 90.00 90.00 90.00
Positions (direct):
Pu (0.0000, 0.0000, 0.0000)
Pu (0.0000, 0.5000, 0.4836)
Ni (0.5000, 0.0000, 0.2935)
Sn (0.5000, 0.0000, 0.6120)
Sn (0.5000, 0.5000, 0.1740)
Sn (0.5000, 0.5000, 0.8184)


A relaxed structure of NiHgPt2. Source: the Alexandria database, functional GGA-PBE.

Values from the calculation:
Final energy (eV/atom): -4.44
Volume (Å³ per cell): 64
Theoretical density (kg/m³): 16852
E_form (eV/f.u.): 0.4

Lattice parameters (Å, degrees): 2.8085 4.7298 4.8184 90.00 90.94 90.00
Positions (direct):
Ni (0.0000, 0.0000, 0.0000)
Hg (0.5000, 0.0000, 0.5000)
Pt (0.2364, 0.5000, 0.7608)
Pt (0.7636, 0.5000, 0.2392)


A relaxed structure of Ga2RuBr. Source: the Alexandria database, functional GGA-PBE.

Values from the calculation:
Final energy (eV/atom): -3.98
Polymorph energy (0 for the lowest one) (meV per atom): 0
Volume (Å³ per cell): 219
Theoretical density (kg/m³): 4870
Uncorrected formation energy (eV per atom): 0.27

Lattice parameters (Å, degrees): 7.2696 7.2696 7.2696 130.26 130.26 73.00
Positions (direct):
Ga (0.0582, 0.6250, 0.9332)
Ga (0.3750, 0.3082, 0.4332)
Ga (0.6918, 0.1250, 0.0668)
Ga (0.8750, 0.9418, 0.5668)
Ru (0.0000, 0.0000, 0.0000)
Ru (0.7500, 0.2500, 0.5000)
Br (0.2500, 0.7500, 0.5000)
Br (0.5000, 0.5000, 0.0000)


A relaxed structure of PrHgPd2. Source: the Alexandria database, functional GGA-PBE.

Values from the calculation:
Final energy (eV/atom): -4.49
Volume (Å³ per cell): 175
Theoretical density (kg/m³): 10491
E_form (eV/f.u.): -2.5

Lattice parameters (Å, degrees): 5.5558 4.3804 7.2109 90.00 90.00 90.00
Positions (direct):
Pr (0.2500, 0.0000, 0.2270)
Pr (0.7500, 0.0000, 0.7730)
Hg (0.2500, 0.5000, 0.8792)
Hg (0.7500, 0.5000, 0.1208)
Pd (0.0000, 0.5000, 0.5000)
Pd (0.2500, 0.0000, 0.6375)
Pd (0.5000, 0.5000, 0.5000)
Pd (0.7500, 0.0000, 0.3625)


A relaxed structure of DyTcW. Source: the Alexandria database, functional GGA-PBE.

Values from the calculation:
Final energy (eV/atom): -9.00
Polymorph energy (0 for the lowest one) (meV per atom): 352
Volume (Å³ per cell): 116
Theoretical density (kg/m³): 12725
E_form (eV/f.u.): 0.9

Lattice parameters (Å, degrees): 6.4581 5.5768 5.1262 74.09 56.15 49.76
Positions (direct):
Dy (0.1711, 0.8289, 0.1711)
Dy (0.8289, 0.1711, 0.8289)
Tc (0.2500, 0.2500, 0.2500)
Tc (0.7500, 0.7500, 0.7500)
W (0.3449, 0.3449, 0.6551)
W (0.6551, 0.6551, 0.3449)


A relaxed structure of SrLiTlBr4. Source: the Alexandria database, functional GGA-PBE.

Values from the calculation:
Final energy (eV/atom): -3.38
Volume (Å³ per cell): 470
Theoretical density (kg/m³): 4374
Uncorrected formation energy (eV per atom): -1.57

Lattice parameters (Å, degrees): 7.3066 7.4259 9.1086 90.00 108.14 90.00
Positions (direct):
Sr (0.2205, 0.2500, 0.0543)
Sr (0.7795, 0.7500, 0.9457)
Li (0.2336, 0.7500, 0.8121)
Li (0.7664, 0.2500, 0.1879)
Tl (0.2652, 0.2500, 0.5622)
Tl (0.7348, 0.7500, 0.4378)
Br (0.0045, 0.5020, 0.2223)
Br (0.0045, 0.9980, 0.2223)
Br (0.4417, 0.7500, 0.6420)
Br (0.4485, 0.7500, 0.0867)
Br (0.5515, 0.2500, 0.9133)
Br (0.5583, 0.2500, 0.3580)
Br (0.9955, 0.0020, 0.7777)
Br (0.9955, 0.4980, 0.7777)


A relaxed structure of PrPu2Fe. Source: the Alexandria database, functional GGA-PBE.

Values from the calculation:
Final energy (eV/atom): -10.32
Polymorph energy (0 for the lowest one) (meV per atom): 0
Volume (Å³ per cell): 99
Theoretical density (kg/m³): 11474
E_form (eV/f.u.): 0.6

Lattice parameters (Å, degrees): 3.3669 3.3669 8.7417 90.00 90.00 90.00
Positions (direct):
Pr (0.0000, 0.0000, 0.0000)
Pu (0.5000, 0.5000, 0.3163)
Pu (0.5000, 0.5000, 0.6837)
Fe (0.0000, 0.0000, 0.5000)


A relaxed structure of Al2Se2I. Source: the Alexandria database, functional GGA-PBE.

Values from the calculation:
Final energy (eV/atom): -3.71
Polymorph energy (0 for the lowest one) (meV per atom): 30
Volume (Å³ per cell): 121
Theoretical density (kg/m³): 4659
Uncorrected formation energy (eV per atom): -0.51

Lattice parameters (Å, degrees): 8.5457 8.5457 8.5457 153.88 153.88 37.27
Positions (direct):
Al (0.1709, 0.1709, 0.0000)
Al (0.8291, 0.8291, 0.0000)
Se (0.3285, 0.3285, 0.0000)
Se (0.6715, 0.6715, 0.0000)
I (0.0000, 0.0000, 0.0000)


A relaxed structure of Rb2SBr. Source: the Alexandria database, functional GGA-PBE.

Values from the calculation:
Final energy (eV/atom): -2.97
Polymorph energy (0 for the lowest one) (meV per atom): 0
Volume (Å³ per cell): 140
Theoretical density (kg/m³): 3362
Uncorrected formation energy (eV per atom): -1.04

Lattice parameters (Å, degrees): 4.0612 4.0612 8.4709 90.00 90.00 90.00
Positions (direct):
Rb (0.0000, 0.0000, 0.2499)
Rb (0.0000, 0.0000, 0.7501)
S (0.5000, 0.5000, 0.0000)
Br (0.5000, 0.5000, 0.5000)


A relaxed structure of Pm3ScGe6. Source: the Alexandria database, functional GGA-PBE.

Values from the calculation:
Final energy (eV/atom): -5.53
Volume (Å³ per cell): 447
Theoretical density (kg/m³): 6805
E_form (eV/f.u.): -7.0

Lattice parameters (Å, degrees): 7.7243 7.7243 7.7243 97.75 97.75 97.75
Positions (direct):
Pm (0.1824, 0.7500, 0.3176)
Pm (0.2500, 0.6824, 0.8176)
Pm (0.3176, 0.1824, 0.7500)
Pm (0.6824, 0.8176, 0.2500)
Pm (0.7500, 0.3176, 0.1824)
Pm (0.8176, 0.2500, 0.6824)
Sc (0.0000, 0.0000, 0.0000)
Sc (0.5000, 0.5000, 0.5000)
Ge (0.0142, 0.0885, 0.3696)
Ge (0.0885, 0.3696, 0.0142)
Ge (0.1304, 0.4115, 0.4858)
Ge (0.3696, 0.0142, 0.0885)
Ge (0.4115, 0.4858, 0.1304)
Ge (0.4858, 0.1304, 0.4115)
Ge (0.5142, 0.8696, 0.5885)
Ge (0.5885, 0.5142, 0.8696)
Ge (0.6304, 0.9858, 0.9115)
Ge (0.8696, 0.5885, 0.5142)
Ge (0.9115, 0.6304, 0.9858)
Ge (0.9858, 0.9115, 0.6304)


A relaxed structure of MnBeAs2. Source: the Alexandria database, functional GGA-PBE.

Values from the calculation:
Final energy (eV/atom): -5.47
Polymorph energy (0 for the lowest one) (meV per atom): 114
Volume (Å³ per cell): 62
Theoretical density (kg/m³): 5739
E_form (eV/f.u.): 0.3

Lattice parameters (Å, degrees): 6.2445 6.2445 6.2445 32.31 32.31 32.31
Positions (direct):
Mn (0.0000, 0.0000, 0.0000)
Be (0.5000, 0.5000, 0.5000)
As (0.2456, 0.2456, 0.2456)
As (0.7544, 0.7544, 0.7544)


A relaxed structure of SmHgBr6. Source: the Alexandria database, functional GGA-PBE.

Values from the calculation:
Final energy (eV/atom): -2.83
Volume (Å³ per cell): 300
Theoretical density (kg/m³): 4601
Uncorrected formation energy (eV per atom): -0.94

Lattice parameters (Å, degrees): 7.1444 7.1928 7.3451 61.41 66.86 87.64
Positions (direct):
Sm (0.0000, 0.0000, 0.0000)
Hg (0.5000, 0.5000, 0.0000)
Br (0.0493, 0.1743, 0.5352)
Br (0.2386, 0.4004, 0.8072)
Br (0.4120, 0.8784, 0.8565)
Br (0.5880, 0.1216, 0.1435)
Br (0.7614, 0.5996, 0.1928)
Br (0.9507, 0.8257, 0.4648)


A relaxed structure of Os2PtI. Source: the Alexandria database, functional GGA-PBE.

Values from the calculation:
Final energy (eV/atom): -6.23
Polymorph energy (0 for the lowest one) (meV per atom): 0
Volume (Å³ per cell): 67
Theoretical density (kg/m³): 17468
Uncorrected formation energy (eV per atom): 1.28

Lattice parameters (Å, degrees): 4.5538 4.5538 4.5538 60.00 60.00 60.00
Positions (direct):
Os (0.2500, 0.2500, 0.2500)
Os (0.7500, 0.7500, 0.7500)
Pt (0.0000, 0.0000, 0.0000)
I (0.5000, 0.5000, 0.5000)


A relaxed structure of ThTl2GaSe5. Source: the Alexandria database, functional GGA-PBE.

Values from the calculation:
Final energy (eV/atom): -4.45
Volume (Å³ per cell): 542
Theoretical density (kg/m³): 6779
Uncorrected formation energy (eV per atom): -0.83

Lattice parameters (Å, degrees): 9.8539 9.8539 13.5832 90.00 90.00 155.76
Positions (direct):
Th (0.2027, 0.7973, 0.5000)
Th (0.7973, 0.2027, 0.0000)
Tl (0.1096, 0.8904, 0.8055)
Tl (0.1133, 0.8867, 0.1315)
Tl (0.8867, 0.1133, 0.6315)
Tl (0.8904, 0.1096, 0.3055)
Ga (0.4378, 0.5622, 0.8863)
Ga (0.5622, 0.4378, 0.3863)
Se (0.0443, 0.9557, 0.4915)
Se (0.2964, 0.7036, 0.1441)
Se (0.3133, 0.6867, 0.8455)
Se (0.3508, 0.6492, 0.4661)
Se (0.4980, 0.5020, 0.2363)
Se (0.5020, 0.4980, 0.7363)
Se (0.6492, 0.3508, 0.9661)
Se (0.6867, 0.3133, 0.3455)
Se (0.7036, 0.2964, 0.6441)
Se (0.9557, 0.0443, 0.9915)


A relaxed structure of NaZrSc2Bi. Source: the Alexandria database, functional GGA-PBE.

Values from the calculation:
Final energy (eV/atom): -4.64
Volume (Å³ per cell): 172
Theoretical density (kg/m³): 3999
E_form (eV/f.u.): 3.2

Lattice parameters (Å, degrees): 5.5373 5.5373 5.5945 90.00 90.00 90.00
Positions (direct):
Na (0.0000, 0.0000, 0.0000)
Zr (0.5000, 0.5000, 0.0000)
Sc (0.0000, 0.5000, 0.5000)
Sc (0.5000, 0.0000, 0.5000)
Bi (0.5000, 0.5000, 0.5000)


A relaxed structure of FeCuIr6. Source: the Alexandria database, functional GGA-PBE.

Values from the calculation:
Final energy (eV/atom): -8.14
Volume (Å³ per cell): 112
Theoretical density (kg/m³): 18820
E_form (eV/f.u.): 0.6

Lattice parameters (Å, degrees): 3.8288 3.8288 7.6600 90.00 90.00 90.00
Positions (direct):
Fe (0.0000, 0.0000, 0.0000)
Cu (0.0000, 0.0000, 0.5000)
Ir (0.0000, 0.5000, 0.2460)
Ir (0.0000, 0.5000, 0.7540)
Ir (0.5000, 0.0000, 0.2460)
Ir (0.5000, 0.0000, 0.7540)
Ir (0.5000, 0.5000, 0.0000)
Ir (0.5000, 0.5000, 0.5000)


A relaxed structure of RbLiSbI6. Source: the Alexandria database, functional GGA-PBE.

Values from the calculation:
Final energy (eV/atom): -2.49
Volume (Å³ per cell): 423
Theoretical density (kg/m³): 3832
Uncorrected formation energy (eV per atom): -0.68

Lattice parameters (Å, degrees): 7.6812 7.6812 8.2728 90.00 90.00 120.00
Positions (direct):
Rb (0.0000, 0.0000, 0.0000)
Li (0.6667, 0.3333, 0.5000)
Sb (0.3333, 0.6667, 0.5000)
I (0.3731, 0.0008, 0.7083)
I (0.3731, 0.3723, 0.2917)
I (0.6277, 0.0008, 0.2917)
I (0.6277, 0.6269, 0.7083)
I (0.9992, 0.3723, 0.7083)
I (0.9992, 0.6269, 0.2917)


A relaxed structure of RbTlSn2Hg. Source: the Alexandria database, functional GGA-PBE.

Values from the calculation:
Final energy (eV/atom): -2.48
Volume (Å³ per cell): 168
Theoretical density (kg/m³): 7177
E_form (eV/f.u.): -0.8

Lattice parameters (Å, degrees): 7.3283 7.3283 7.3283 140.68 136.99 59.68
Positions (direct):
Rb (0.0000, 0.0000, 0.0000)
Tl (0.2509, 0.7509, 0.5000)
Sn (0.6220, 0.6220, 0.0000)
Sn (0.7612, 0.2612, 0.5000)
Hg (0.3928, 0.3928, 0.0000)